# 1
This record from Alexandria describes a relaxed structure of Nd2BeGe4Pd3. The functional is PBE.

The structure in POSCAR format:
```
Nd2BeGe4Pd3
1.0
4.2664 0.0000 0.0000
0.0000 4.2664 0.0000
0.0000 0.0000 10.3413
Nd Be Ge Pd
2 1 4 3
direct
0.0000 0.5000 0.2449
0.5000 0.0000 0.7551
0.5000 0.5000 0.0000
0.0000 0.0000 0.5000
0.0000 0.5000 0.8729
0.5000 0.0000 0.1271
0.5000 0.5000 0.5000
0.0000 0.0000 0.0000
0.0000 0.5000 0.6325
0.5000 0.0000 0.3675
```

Summary:
Size of the total moment = 0.000 μB per cell
Mass density = 8.00 g/cm³
E = -54.31 eV/cell

# 2
This record from Alexandria describes a relaxed structure of BaZrIr4. The functional is PBE.

The structure in POSCAR format:
```
BaZrIr4
1.0
0.0000 3.8370 3.8370
3.8370 0.0000 3.8370
3.8370 3.8370 0.0000
Ba Zr Ir
1 1 4
direct
0.0000 0.0000 0.0000
0.2500 0.2500 0.2500
0.1271 0.6243 0.6243
0.6243 0.1271 0.6243
0.6243 0.6243 0.1271
0.6243 0.6243 0.6243
```

Summary:
Size of the total moment = 0.000 μB per cell
Mass density = 14.66 g/cm³
E = -46.94 eV/cell

# 3
This record from Alexandria describes a relaxed structure of LaErCuAu. The functional is PBE.

The structure in POSCAR format:
```
LaErCuAu
1.0
0.0000 3.6335 3.6335
3.6335 0.0000 3.6335
3.6335 3.6335 0.0000
La Er Cu Au
1 1 1 1
direct
0.0000 0.0000 0.0000
0.5000 0.5000 0.5000
0.2500 0.2500 0.2500
0.7500 0.7500 0.7500
```

Summary:
Energy above the lowest structure with this stoichiometry = 0.0371 eV/atom
Size of the total moment = 0.000 μB per cell
Mass density = 9.81 g/cm³
E = -18.77 eV/cell

# 4
This record from Alexandria describes a relaxed structure of ReAs2PdSe. The functional is PBE.

The structure in POSCAR format:
```
ReAs2PdSe
1.0
4.7652 0.0000 0.0000
0.0000 4.7652 0.0000
0.0000 0.0000 4.9867
Re As Pd Se
1 2 1 1
direct
0.0000 0.0000 0.0000
0.0000 0.5000 0.0000
0.5000 0.0000 0.0000
0.5000 0.5000 0.5000
0.0000 0.0000 0.5000
```

Summary:
ΔE_f (raw) = 0.751 eV/atom
Energy above the lowest structure with this stoichiometry = 0.0000 eV/atom
Size of the total moment = 0.000 μB per cell
Mass density = 7.65 g/cm³
E = -26.67 eV/cell

# 5
This record from Alexandria describes a relaxed structure of Na2BiSbO4. The functional is PBE.

The structure in POSCAR format:
```
Na2BiSbO4
1.0
7.5116 0.0000 0.0000
0.0000 6.9446 0.0000
0.0000 0.0000 5.5003
Na Bi Sb O
4 2 2 8
direct
0.2475 0.1529 0.0000
0.2525 0.8471 0.5000
0.7475 0.8471 0.5000
0.7525 0.1529 0.0000
0.0000 0.6592 0.0015
0.5000 0.3408 0.5015
0.0000 0.3492 0.5201
0.5000 0.6508 0.0201
0.0000 0.3445 0.8869
0.0000 0.6807 0.6193
0.2270 0.1817 0.5259
0.2730 0.8183 0.0259
0.5000 0.3193 0.1193
0.5000 0.6555 0.3869
0.7270 0.8183 0.0259
0.7730 0.1817 0.5259
```

Summary:
ΔE_f (raw) = -1.377 eV/atom
Size of the total moment = 0.000 μB per cell
Mass density = 5.10 g/cm³
E = -82.99 eV/cell

# 6
This record from Alexandria describes a relaxed structure of FeCuAgCl5. The functional is PBE.

The structure in POSCAR format:
```
FeCuAgCl5
1.0
5.2632 -4.9165 0.0000
5.2632 4.9165 0.0000
-3.3403 0.0000 8.2053
Fe Cu Ag Cl
2 2 2 10
direct
0.1711 0.8289 0.7500
0.8289 0.1711 0.2500
0.5000 0.5000 0.0000
0.5000 0.5000 0.5000
0.1500 0.8500 0.2500
0.8500 0.1500 0.7500
0.1143 0.1950 0.4378
0.1940 0.5887 0.8692
0.1950 0.1143 0.9378
0.4030 0.5970 0.2500
0.4113 0.8060 0.6308
0.5887 0.1940 0.3692
0.5970 0.4030 0.7500
0.8050 0.8857 0.0622
0.8060 0.4113 0.1308
0.8857 0.8050 0.5622
```

Summary:
ΔE_f (raw) = -0.583 eV/atom
Size of the total moment = 10.037 μB per cell
Mass density = 3.16 g/cm³
E = -58.61 eV/cell

# 7
This record from Alexandria describes a relaxed structure of BaSm2Te4. The functional is PBE.

The structure in POSCAR format:
```
BaSm2Te4
1.0
13.9145 0.0000 0.0000
0.0000 4.5612 0.0000
0.0000 0.0000 16.5512
Ba Sm Te
4 8 16
direct
0.2395 0.2500 0.1682
0.2605 0.7500 0.6682
0.7395 0.2500 0.3318
0.7605 0.7500 0.8318
0.0627 0.2500 0.3912
0.0804 0.2500 0.9030
0.4196 0.7500 0.4030
0.4373 0.7500 0.8912
0.5627 0.2500 0.1088
0.5804 0.2500 0.5970
0.9196 0.7500 0.0970
0.9373 0.7500 0.6088
0.0261 0.7500 0.7837
0.0896 0.2500 0.5784
0.1303 0.7500 0.0289
0.2057 0.7500 0.3333
0.2943 0.2500 0.8333
0.3697 0.2500 0.5289
0.4104 0.7500 0.0784
0.4739 0.2500 0.2837
0.5261 0.7500 0.7163
0.5896 0.2500 0.9216
0.6303 0.7500 0.4711
0.7057 0.7500 0.1667
0.7943 0.2500 0.6667
0.8697 0.2500 0.9711
0.9104 0.7500 0.4216
0.9739 0.2500 0.2163
```

Summary:
ΔE_f (raw) = -1.554 eV/atom
Energy above the lowest structure with this stoichiometry = 0.0000 eV/atom
Size of the total moment = 0.000 μB per cell
Mass density = 6.00 g/cm³
E = -139.23 eV/cell